# PBE RbNpCuS2, optimized geometry
# **Energy**: -30.12 eV/f.u.
data_RbNpCuS2
_space_group_name_H-M_alt 'P 1 2/c 1'
_space_group_IT_number 13
_cell_length_a 8.067
_cell_length_b 5.904
_cell_length_c 5.911
_cell_angle_alpha 90.00
_cell_angle_beta 111.44
_cell_angle_gamma 90.00
loop_
_space_group_symop_operation_xyz
'x,y,z'
'-x,-y,-z'
'-x,y,-z+1/2'
'x,-y,z+1/2'
loop_
_atom_site_label
_atom_site_type_symbol
_atom_site_fract_x
_atom_site_fract_y
_atom_site_fract_z
Rb1 Rb 0.000 0.234 0.250
Np1 Np 0.500 0.500 0.250
Cu1 Cu 0.500 0.000 0.000
S1 S 0.270 0.237 0.885

=====

# PBE RbNp2Cu2S6, optimized geometry
# **Energy**: -70.04 eV/f.u.
data_RbNp2Cu2S6
_space_group_name_H-M_alt 'P -1'
_space_group_IT_number 2
_cell_length_a 7.117
_cell_length_b 7.315
_cell_length_c 7.520
_cell_angle_alpha 91.30
_cell_angle_beta 117.77
_cell_angle_gamma 119.06
loop_
_space_group_symop_operation_xyz
'x,y,z'
'-x,-y,-z'
loop_
_atom_site_label
_atom_site_type_symbol
_atom_site_fract_x
_atom_site_fract_y
_atom_site_fract_z
Rb1 Rb 0.000 0.000 0.000
Np1 Np 0.341 0.670 0.011
Cu1 Cu 0.130 0.697 0.432
S1 S 0.153 0.479 0.241
S2 S 0.239 0.329 0.761
S3 S 0.432 0.916 0.761

=====

# PBE RbNp4Cu3S12, optimized geometry
# **Energy**: -130.49 eV/f.u.
data_RbNp4Cu3S12
_space_group_name_H-M_alt 'I m -3'
_space_group_IT_number 204
_space_group_name_Hall '-I 2 2 3'
_cell_length_a 9.681
_cell_length_b 9.681
_cell_length_c 9.681
_cell_angle_alpha 90.00
_cell_angle_beta 90.00
_cell_angle_gamma 90.00
loop_
_atom_site_label
_atom_site_type_symbol
_atom_site_fract_x
_atom_site_fract_y
_atom_site_fract_z
Rb1 Rb 0.000 0.000 0.000
Np1 Np 0.250 0.250 0.250
Cu1 Cu 0.000 0.000 0.500
S1 S 0.000 0.321 0.168

=====

# PBE Rb2NpCu2S4, optimized geometry
# **Energy**: -48.67 eV/f.u.
data_Rb2NpCu2S4
_space_group_name_H-M_alt 'C 1 2/m 1'
_space_group_IT_number 12
_cell_length_a 14.473
_cell_length_b 3.992
_cell_length_c 7.833
_cell_angle_alpha 90.00
_cell_angle_beta 108.98
_cell_angle_gamma 90.00
loop_
_space_group_symop_operation_xyz
'x,y,z'
'-x,-y,-z'
'-x,y,-z'
'x,-y,z'
'x+1/2,y+1/2,z'
'-x+1/2,-y+1/2,-z'
'-x+1/2,y+1/2,-z'
'x+1/2,-y+1/2,z'
loop_
_atom_site_label
_atom_site_type_symbol
_atom_site_fract_x
_atom_site_fract_y
_atom_site_fract_z
Rb1 Rb 0.137 0.000 0.063
Np1 Np 0.000 0.000 0.500
Cu1 Cu 0.179 0.500 0.485
S1 S 0.022 0.500 0.278
S2 S 0.196 0.000 0.660

=====

# PBE RbNpCu2Se4, optimized geometry
# **Energy**: -40.01 eV/f.u.
data_RbNpCu2Se4
_space_group_name_H-M_alt 'I 2 2 2'
_space_group_IT_number 23
_cell_length_a 6.566
_cell_length_b 8.232
_cell_length_c 8.892
_cell_angle_alpha 90.00
_cell_angle_beta 90.00
_cell_angle_gamma 90.00
loop_
_space_group_symop_operation_xyz
'x,y,z'
'-x,-y,z'
'x,-y,-z'
'-x,y,-z'
'x+1/2,y+1/2,z+1/2'
'-x+1/2,-y+1/2,z+1/2'
'x+1/2,-y+1/2,-z+1/2'
'-x+1/2,y+1/2,-z+1/2'
loop_
_atom_site_label
_atom_site_type_symbol
_atom_site_fract_x
_atom_site_fract_y
_atom_site_fract_z
Rb1 Rb 0.000 0.000 0.000
Np1 Np 0.000 0.000 0.500
Cu1 Cu 0.000 0.500 0.140
Se1 Se 0.240 0.182 0.320

=====

# PBE RbNpCuSe3, optimized geometry
# **Energy**: -34.44 eV/f.u.
data_RbNpCuSe3
_space_group_name_H-M_alt 'P 1 21/m 1'
_space_group_IT_number 11
_cell_length_a 9.354
_cell_length_b 4.143
_cell_length_c 9.765
_cell_angle_alpha 90.00
_cell_angle_beta 110.45
_cell_angle_gamma 90.00
loop_
_space_group_symop_operation_xyz
'x,y,z'
'-x,-y,-z'
'-x,y+1/2,-z'
'x,-y+1/2,z'
loop_
_atom_site_label
_atom_site_type_symbol
_atom_site_fract_x
_atom_site_fract_y
_atom_site_fract_z
Rb1 Rb 0.209 0.250 0.249
Np1 Np 0.320 0.750 0.841
Cu1 Cu 0.081 0.250 0.595
Se1 Se 0.121 0.250 0.858
Se2 Se 0.201 0.750 0.538
Se3 Se 0.467 0.750 0.154

=====

The spin magnetization results, record by record, are as follows: 10.00 5.00 16.60 6.00 3.93 5.99 Bohr magnetons per cell.